[1]
Compound: Sb8IrRu2
Source: Alexandria
Functional: PBE
Structure: relaxed

a = 12.8291 Å, b = 8.9076 Å, c = 5.1380 Å
α = 90.00°, β = 90.98°, γ = 90.00°
With the nearest neighbours (Å) after each atom.
Space group C2/m (No. 12)
One atom of each set of equivalent atoms:
Sb 0.0834 0.2117 0.3092 [8 per cell]  1 Ru 2.66, 1 Ir 2.68, 1 Sb 2.93
Sb 0.0856 0.5000 0.7553 [4 per cell]  3 Ru 2.57-2.76
Sb 0.1705 0.0000 0.7072 [4 per cell]  1 Ru 2.57, 1 Ir 2.68
Ir 0.0000 0.0000 0.0000 [2 per cell]  6 Sb 2.68
Ru 0.1295 0.5000 0.2446 [4 per cell]  6 Sb 2.57-2.76

Properties
- E (hartree per atom) = -0.2017

---

[2]
Compound: SbIr2Ru
Source: Alexandria
Functional: PBE
Structure: relaxed

a = 2.9504 Å, b = 2.9504 Å, c = 25.6790 Å
α = 90.00°, β = 90.00°, γ = 120.00°
With the nearest neighbours (Å) after each atom.
Space group R3m (No. 160, hexagonal axes)
One atom of each set of equivalent atoms:
Sb 0.0000 0.0000 0.0000 [3 per cell]  3 Ru 2.72, 3 Ir 2.75, 6 Sb 2.95
Ir 0.0000 0.0000 0.5028 [3 per cell]  3 Ru 2.70, 9 Ir 2.77-2.95
Ir 0.0000 0.0000 0.7510 [3 per cell]  3 Sb 2.75, 9 Ir 2.77-2.95
Ru 0.0000 0.0000 0.2508 [3 per cell]  3 Ir 2.70, 3 Sb 2.72, 6 Ru 2.95

Properties
- E (hartree per atom) = -0.2717

---

[3]
Compound: SbIr2Ru
Source: Alexandria
Functional: PBE
Structure: relaxed

a = 5.7727 Å, b = 5.7727 Å, c = 11.3309 Å
α = 90.00°, β = 90.00°, γ = 90.00°
With the nearest neighbours (Å) after each atom.
Space group I-42d (No. 122)
One atom of each set of equivalent atoms:
Sb 0.0000 0.0000 0.0000 [4 per cell]  4 Ir 2.59
Ir 0.2201 0.2500 0.6250 [8 per cell]  2 Ru 2.39, 2 Sb 2.59
Ru 0.0000 0.0000 0.5000 [4 per cell]  4 Ir 2.39

Properties
- E (hartree per atom) = -0.2595

---

> Look up the E of the second one.

-0.2717 hartree per atom

---

> The highest E belongs to which entry?

Sb8IrRu2

---

> Look up the E of the first one.

-0.2017 hartree per atom